Entry 1:
An optimized crystal structure of K4La3ScO8. Source: the Alexandria database, functional PBE-GGA.

Results
Uncorrected energy: -107.39 eV for the cell shown
Spin magnetization: 0.0 μB per formula unit
Formation energy from raw total energies: -2.639 eV/atom

Cell and atoms, written as extended XYZ:
```
16
Lattice="-6.094 -0.356 -3.869 3.981 -1.934 -6.092 0.704 -3.959 6.005" Properties=species:S:1:pos:R:3 pbc="T T T"
K -3.047 -0.178 -1.935
K -2.695 -2.158 1.068
K 0.000 0.000 0.000
K 0.352 -1.980 3.002
La -1.056 -1.145 -4.981
La -0.704 -3.125 -1.978
La 2.343 -2.947 -0.044
Sc 1.991 -0.967 -3.046
O 2.090 -5.237 0.806
O 1.713 -3.116 -2.412
O -0.041 -2.815 0.323
O -1.175 -5.428 -1.267
O -0.233 -0.822 -2.689
O -1.368 -3.435 -4.280
O -3.122 -3.134 -1.545
O -3.499 -1.012 -4.763
```

Entry 2:
An optimized crystal structure of V2IrOs2. Source: the Alexandria database, functional PBE-GGA.

Results
Uncorrected energy: -99.04 eV for the cell shown
Spin magnetization: 0.0 μB per formula unit
Energy of formation from the pure elements: 0.01 eV/atom

Cell and atoms, written as extended XYZ:
```
10
Lattice="7.119 0.000 0.000 0.000 7.119 0.000 0.000 0.000 2.869" Properties=species:S:1:pos:R:3 pbc="T T T"
Ir 0.000 0.000 0.000
Ir 3.560 3.560 0.000
Os 2.604 6.163 0.000
Os 6.163 4.516 0.000
Os 4.516 0.956 0.000
Os 0.956 2.604 0.000
V 1.180 4.740 1.434
V 4.740 5.940 1.434
V 5.940 2.380 1.434
V 2.380 1.180 1.434
```

Entry 3:
An optimized crystal structure of TbPI. Source: the Alexandria database, functional PBE-GGA.

Results
Distance to the lowest polymorph of the same formula: 1.28 eV per formula unit
Uncorrected energy: -13.94 eV for the cell shown
Spin magnetization: 0.0 μB per formula unit
Formation energy from raw total energies: -0.782 eV/atom

Cell and atoms, written as extended XYZ:
```
3
Lattice="3.845 0.000 0.000 0.000 3.845 0.000 -1.922 -1.922 5.584" Properties=species:S:1:pos:R:3 pbc="T T T"
I 0.000 0.000 0.129
P 0.000 0.000 3.120
Tb 1.922 1.922 2.335
```

Please write out number 1 again, unchanged.
An optimized crystal structure of K4La3ScO8. Source: the Alexandria database, functional PBE-GGA.

Results
Uncorrected energy: -107.39 eV for the cell shown
Spin magnetization: 0.0 μB per formula unit
Formation energy from raw total energies: -2.639 eV/atom

Cell and atoms, written as extended XYZ:
```
16
Lattice="-6.094 -0.356 -3.869 3.981 -1.934 -6.092 0.704 -3.959 6.005" Properties=species:S:1:pos:R:3 pbc="T T T"
K -3.047 -0.178 -1.935
K -2.695 -2.158 1.068
K 0.000 0.000 0.000
K 0.352 -1.980 3.002
La -1.056 -1.145 -4.981
La -0.704 -3.125 -1.978
La 2.343 -2.947 -0.044
Sc 1.991 -0.967 -3.046
O 2.090 -5.237 0.806
O 1.713 -3.116 -2.412
O -0.041 -2.815 0.323
O -1.175 -5.428 -1.267
O -0.233 -0.822 -2.689
O -1.368 -3.435 -4.280
O -3.122 -3.134 -1.545
O -3.499 -1.012 -4.763
```

- Look up the uncorrected energy of the second one.
  -99.04 eV for the cell shown